# 1
Ag2Hg2P: relaxed, PBE.

Cell: 3.8260 3.8260 7.8315 Å, 75.86 75.86 90.00°
Last column: nearest neighbours and their distance in Å.
Sites, in units of the cell vectors:
Ag: 0.7500 0.2500 0.5000  4 Ag 2.71, 4 Hg 2.94
Ag: 0.2500 0.7500 0.5000  4 Ag 2.71, 4 Hg 2.94
Hg: 0.4022 0.4022 0.1956  1 Hg 2.88, 4 Ag 2.94, 4 P 3.06
Hg: 0.5978 0.5978 0.8044  1 Hg 2.88, 4 Ag 2.94, 4 P 3.06
P: 0.0000 0.0000 0.0000  8 Hg 3.06

Values from the calculation:
Size of the total moment, Bohr magnetons per cell: 0.000
D(E_F), states/eV/f.u.: 2.35
Formation energy, eV/atom: 0.403
SG: I4/mmm, No. 139

***

# 2
NaPmB12: relaxed, PBE.

Cell: 5.8624 5.8624 5.8624 Å, 60.00 60.00 60.00°
Last column: nearest neighbours and their distance in Å.
Sites, in units of the cell vectors:
Pm: 0.5000 0.5000 0.5000  24 B 3.05
B: 0.6007 0.8993 0.6007  5 B 1.67-1.75
B: 0.1007 0.3993 0.3993  5 B 1.67-1.75
B: 0.3993 0.1007 0.1007  5 B 1.67-1.75
B: 0.1007 0.1007 0.3993  5 B 1.67-1.75
B: 0.6007 0.8993 0.8993  5 B 1.67-1.75
B: 0.8993 0.6007 0.6007  5 B 1.67-1.75
B: 0.3993 0.3993 0.1007  5 B 1.67-1.75
B: 0.3993 0.1007 0.3993  5 B 1.67-1.75
B: 0.8993 0.6007 0.8993  5 B 1.67-1.75
B: 0.1007 0.3993 0.1007  5 B 1.67-1.75
B: 0.8993 0.8993 0.6007  5 B 1.67-1.75
B: 0.6007 0.6007 0.8993  5 B 1.67-1.75
Na: 0.0000 0.0000 0.0000  24 B 3.05

Values from the calculation:
Size of the total moment, Bohr magnetons per cell: 0.000
D(E_F), states/eV/f.u.: 0.70
Formation energy, eV/atom: -0.318
SG: Fm-3m, No. 225

***

# 3
Lu3Ga: relaxed, PBE.

Cell: 4.5097 4.5097 5.8346 Å, 112.73 112.73 90.00°
Last column: nearest neighbours and their distance in Å.
Sites, in units of the cell vectors:
Lu: 0.7500 0.2500 0.5000  8 Lu 3.19-3.32, 4 Ga 3.32
Lu: 0.5000 0.5000 0.0000  4 Ga 3.19, 8 Lu 3.32
Lu: 0.2500 0.7500 0.5000  8 Lu 3.19-3.32, 4 Ga 3.32
Ga: 0.0000 0.0000 0.0000  12 Lu 3.19-3.32

Values from the calculation:
Size of the total moment, Bohr magnetons per cell: 0.000
D(E_F), states/eV/f.u.: 3.78
Formation energy, eV/atom: -0.197
SG: I4/mmm, No. 139

***

# 4
Ce3Br2N2: relaxed, PBE.

Cell: 3.5904 6.3062 7.6938 Å, 99.93 90.03 106.53°
Last column: nearest neighbours and their distance in Å.
Sites, in units of the cell vectors:
N: 0.6374 0.2749 0.9509  5 Ce 2.31-2.52
N: 0.3626 0.7251 0.0491  5 Ce 2.31-2.52
Ce: 0.7763 0.5523 0.1997  3 N 2.31-2.47
Ce: 0.0000 0.0000 0.0000  4 N 2.52
Ce: 0.2237 0.4477 0.8003  3 N 2.31-2.47
Br: 0.1168 0.2325 0.3795  4 Ce 3.00-3.26
Br: 0.8832 0.7675 0.6205  4 Ce 3.00-3.26

Values from the calculation:
Energy relative to the elements, uncorrected, eV per atom: -1.4785
Size of the total moment, Bohr magnetons per cell: 3.337
D(E_F), states/eV/f.u.: 12.68
SG: P-1, No. 2

***

# 5
Hg2PIrF: relaxed, PBE.

Cell: 4.9312 3.8138 4.9312 Å, 90.00 90.00 90.00°
Last column: nearest neighbours and their distance in Å.
Sites, in units of the cell vectors:
Ir: 0.5000 0.5000 0.5000  8 Hg 3.12, 4 P 3.49
Hg: 0.0000 0.0000 0.5000  2 F 2.47
Hg: 0.5000 0.0000 0.0000  2 F 2.47
P: 0.0000 0.5000 0.0000  2 F 1.91
F: 0.0000 0.0000 0.0000  2 P 1.91

Values from the calculation:
Energy relative to the elements, uncorrected, eV per atom: 0.6448
Size of the total moment, Bohr magnetons per cell: 0.145
D(E_F), states/eV/f.u.: 2.94
SG: P4/mmm, No. 123

***

# 6
Ba4CrIn: relaxed, PBE.

Cell: 7.2640 7.2640 7.2640 Å, 60.00 60.00 60.00°
Last column: nearest neighbours and their distance in Å.
Sites, in units of the cell vectors:
Cr: 0.7500 0.7500 0.7500  12 Ba 4.26, 4 In 4.45
In: 0.0000 0.0000 0.0000  12 Ba 4.26, 4 Cr 4.45
Ba: 0.3745 0.8764 0.3745  6 Ba 3.62-3.65
Ba: 0.3745 0.3745 0.3745  6 Ba 3.62-3.65
Ba: 0.8764 0.3745 0.3745  6 Ba 3.62-3.65
Ba: 0.3745 0.3745 0.8764  6 Ba 3.62-3.65

Values from the calculation:
Size of the total moment, Bohr magnetons per cell: 3.915
D(E_F), states/eV/f.u.: 7.53
Formation energy, eV/atom: 0.661
SG: F-43m, No. 216

***

# 7
Rb4Ho3HfS8: relaxed, PBE.

Cell: 7.9606 8.9554 7.9603 Å, 116.39 120.00 90.00°
Last column: nearest neighbours and their distance in Å.
Sites, in units of the cell vectors:
Ho: 0.0000 0.5000 0.5000  6 S 2.74-2.77
Ho: 0.5000 0.5000 0.5000  6 S 2.74-2.77
Ho: 0.5000 0.5000 0.0000  6 S 2.74-2.76
S: 0.2686 0.3059 0.5372  3 Ho 2.74
S: 0.7450 0.6890 0.9671  1 Hf 2.63, 2 Ho 2.76-2.77
S: 0.2550 0.3110 0.0329  1 Hf 2.63, 2 Ho 2.76-2.77
S: 0.7780 0.3110 0.0329  1 Hf 2.63, 2 Ho 2.76-2.77
S: 0.7314 0.6941 0.4628  3 Ho 2.74
S: 0.2220 0.6890 0.4441  1 Hf 2.63, 2 Ho 2.76
S: 0.7780 0.3110 0.5559  1 Hf 2.63, 2 Ho 2.76
S: 0.2220 0.6890 0.9671  1 Hf 2.63, 2 Ho 2.76-2.77
Rb: 0.5000 0.0000 0.0000  6 S 3.39
Rb: 0.0000 0.0000 0.0000  6 S 3.28-3.29
Rb: 0.5000 0.0000 0.5000  6 S 3.28-3.29
Rb: 0.0000 0.0000 0.5000  6 S 3.28-3.29
Hf: 0.0000 0.5000 0.0000  6 S 2.63

Values from the calculation:
Energy relative to the elements, uncorrected, eV per atom: -1.7277
Size of the total moment, Bohr magnetons per cell: 0.000
D(E_F), states/eV/f.u.: 4.22
SG: R-3m, No. 166